{"formula": "MnAgTe2Au", "functional": "PBE", "state": "relaxed", "dos_at_fermi_per_ev_fu": 5.36, "e_tot_ev_per_atom": -3.6756, "lattice_angstrom": [[-0.2486, 4.4712, 1.8447], [-4.9730, 0.2351, -1.2399], [-1.1651, -1.8481, 4.3225]], "species": ["Mn", "Te", "Te", "Au", "Ag"], "frac_coords": [[0.0000, 0.0000, 0.0000], [0.0000, 0.0000, 0.5000], [0.5000, 0.0000, 0.0000], [0.5000, 0.5000, 0.5000], [0.0000, 0.5000, 0.0000]]}

---

{"formula": "Sm14DySc", "functional": "PBE", "state": "relaxed", "dos_at_fermi_per_ev_fu": 23.53, "e_tot_ev_per_atom": -4.7889, "e_form_mev_per_atom": 24, "lattice_angstrom": [[7.1474, 0.9587, 0.0000], [-0.9592, 7.1474, 0.0000], [0.0000, 0.0000, 10.1540]], "species": ["Sm", "Sm", "Sm", "Sm", "Sm", "Sm", "Sm", "Sm", "Sm", "Sm", "Sm", "Sm", "Sm", "Sm", "Dy", "Sc"], "frac_coords": [[0.3750, 0.6250, 0.5000], [0.8749, 0.1251, 0.5000], [0.8748, 0.6247, 0.0000], [0.8752, 0.6253, 0.5000], [0.3753, 0.1252, 0.0000], [0.3747, 0.1248, 0.5000], [0.6269, 0.8769, 0.7538], [0.6269, 0.8769, 0.2462], [0.1231, 0.3731, 0.7538], [0.1231, 0.3731, 0.2462], [0.1231, 0.8769, 0.7541], [0.1231, 0.8769, 0.2459], [0.6270, 0.3730, 0.7536], [0.6270, 0.3730, 0.2464], [0.3749, 0.6251, 0.0000], [0.8751, 0.1249, 0.0000]]}

---

{"formula": "IrPbW2", "functional": "PBE", "state": "relaxed", "dos_at_fermi_per_ev_fu": 1.55, "e_tot_ev_per_atom": -9.0128, "e_form_mev_per_atom": 606, "lattice_angstrom": [[-0.3605, -3.7981, -3.5768], [4.3508, -2.8039, -0.7466], [-2.8095, 1.5106, 4.1442]], "species": ["Ir", "Pb", "W", "W"], "frac_coords": [[0.7500, 0.2500, 0.5000], [0.2500, 0.7500, 0.5000], [0.0000, 0.0000, 0.0000], [0.5000, 0.5000, 0.0000]]}

---

{"formula": "Mg5Pd3O12", "functional": "PBE", "state": "relaxed", "dos_at_fermi_per_ev_fu": 13.72, "e_tot_ev_per_atom": -5.5503, "lattice_angstrom": [[-1.7847, 2.4642, 0.1454], [-4.6504, -2.9520, -7.0510], [-2.4925, -2.2940, 8.2814]], "species": ["Mg", "Mg", "Mg", "Mg", "Mg", "Pd", "Pd", "Pd", "O", "O", "O", "O", "O", "O", "O", "O", "O", "O", "O", "O"], "frac_coords": [[0.0000, 0.3333, 0.6667], [0.0000, 0.6667, 0.3333], [0.0000, 0.3039, 0.0000], [0.0000, 0.6961, 0.6961], [0.0000, 0.0000, 0.3039], [0.5000, 0.6779, 0.0000], [0.5000, 0.3221, 0.3221], [0.5000, 0.0000, 0.6779], [0.0000, 0.8237, 0.0000], [0.0000, 0.1763, 0.1763], [0.0000, 0.0000, 0.8237], [0.0000, 0.5363, 0.0000], [0.0000, 0.4637, 0.4637], [0.0000, 0.0000, 0.5363], [0.5000, 0.1906, 0.4503], [0.5000, 0.2597, 0.8094], [0.5000, 0.8094, 0.2597], [0.5000, 0.5497, 0.7403], [0.5000, 0.7403, 0.5497], [0.5000, 0.4503, 0.1906]]}

---

{"formula": "LiY2BeTe", "functional": "PBE", "state": "relaxed", "dos_at_fermi_per_ev_fu": 4.61, "e_tot_ev_per_atom": -4.2311, "lattice_angstrom": [[-4.7017, -0.6429, 2.2142], [0.0054, -4.5267, -1.3029], [2.3056, -1.2980, 4.5190]], "species": ["Y", "Y", "Be", "Te", "Li"], "frac_coords": [[0.0000, 0.0000, 0.5000], [0.5000, 0.0000, 0.0000], [0.0000, 0.0000, 0.0000], [0.0000, 0.5000, 0.0000], [0.5000, 0.5000, 0.5000]]}

---

{"formula": "ReTc2NiN", "functional": "PBE", "state": "relaxed", "dos_at_fermi_per_ev_fu": 3.23, "e_tot_ev_per_atom": -9.2972, "lattice_angstrom": [[3.9982, 0.0000, 0.0000], [0.0000, 3.9872, 0.0000], [0.0000, 0.0000, 3.9982]], "species": ["Re", "N", "Tc", "Tc", "Ni"], "frac_coords": [[0.0000, 0.5000, 0.0000], [0.0000, 0.0000, 0.0000], [0.0000, 0.0000, 0.5000], [0.5000, 0.0000, 0.0000], [0.5000, 0.5000, 0.5000]]}

---

{"formula": "BaCa2PbO4", "functional": "PBE", "state": "relaxed", "dos_at_fermi_per_ev_fu": 0.00, "e_tot_ev_per_atom": -5.8462, "lattice_angstrom": [[3.4882, 0.0000, 0.0000], [-1.7441, 6.6801, 0.0000], [0.0000, 0.0000, 12.1920]], "species": ["Ba", "Ba", "Ca", "Ca", "Ca", "Ca", "Pb", "Pb", "O", "O", "O", "O", "O", "O", "O", "O"], "frac_coords": [[0.2223, 0.4446, 0.7500], [0.7777, 0.5554, 0.2500], [0.3702, 0.7404, 0.5014], [0.6298, 0.2596, 0.0014], [0.6298, 0.2596, 0.4986], [0.3702, 0.7404, 0.9986], [0.9591, 0.9182, 0.7500], [0.0409, 0.0818, 0.2500], [0.2134, 0.4268, 0.1006], [0.7866, 0.5732, 0.6006], [0.7866, 0.5732, 0.8994], [0.2134, 0.4268, 0.3994], [0.0000, 0.0000, 0.5000], [0.0000, 0.0000, 0.0000], [0.5695, 0.1391, 0.7500], [0.4305, 0.8609, 0.2500]]}

---

{"formula": "Ba2Tl4BiAu3", "functional": "PBE", "state": "relaxed", "dos_at_fermi_per_ev_fu": 5.28, "e_tot_ev_per_atom": -3.0583, "e_form_mev_per_atom": -356, "lattice_angstrom": [[-1.5675, -0.4138, 4.6716], [-4.5726, -0.9595, -1.6193], [2.6154, -12.1320, -0.1970]], "species": ["Ba", "Ba", "Tl", "Tl", "Tl", "Tl", "Bi", "Au", "Au", "Au"], "frac_coords": [[0.5000, 0.0000, 0.2442], [0.0000, 0.5000, 0.7558], [0.5000, 0.5000, 0.0000], [0.0000, 0.0000, 0.0000], [0.5000, 0.0000, 0.6444], [0.0000, 0.5000, 0.3556], [0.5000, 0.5000, 0.5000], [0.0000, 0.0000, 0.5000], [0.5000, 0.0000, 0.8707], [0.0000, 0.5000, 0.1293]]}